A relaxed structure of TbGdAu4. Source: OQMD via LeMat-Bulk, functional GGA-PBE.

Results
The calculation puts the formation energy at -0.86 eV per atom. The total magnetization is 0.0 μB/f.u. The calculated total energy is -27.5 eV/f.u. As for the calculated density: 14.38 g cm⁻³.

a b c (Å): 3.7465 3.7465 9.0826
angles (deg): 90.00 90.00 90.00
Last column: nearest neighbours and their distance in Å.
Fractional coordinates of all 6 atoms:
Tb 0.0000 0.0000 0.0000  10 Au 3.04-3.05
Gd 0.5000 0.5000 0.5000  10 Au 3.04-3.05
Au 0.0000 0.0000 0.3343  5 Au 3.01-3.06, 1 Tb 3.04, 4 Gd 3.05
Au 0.0000 0.0000 0.6657  5 Au 3.01-3.06, 1 Tb 3.04, 4 Gd 3.05
Au 0.5000 0.5000 0.1654  5 Au 3.00-3.06, 1 Gd 3.04, 4 Tb 3.05
Au 0.5000 0.5000 0.8346  5 Au 3.00-3.06, 1 Gd 3.04, 4 Tb 3.05

A relaxed structure of LiCd12. Source: OQMD via LeMat-Bulk, functional GGA-PBE.

Results
The calculated total energy is -12.5 eV/f.u. As for the calculated density: 7.86 g cm⁻³.

a b c (Å): 5.7581 5.7581 9.9806
angles (deg): 90.00 90.00 120.00
Last column: nearest neighbours and their distance in Å.
Fractional coordinates of all 13 atoms:
Li 0.0000 0.0000 0.0000  8 Cd 3.32-3.53
Cd 0.0000 0.0000 0.3540  7 Cd 2.92-3.08
Cd 0.0000 0.0000 0.6460  7 Cd 2.92-3.08
Cd 0.0000 0.5000 0.2436  10 Cd 2.88-3.08
Cd 0.0000 0.5000 0.7564  10 Cd 2.88-3.08
Cd 0.3333 0.6667 0.0000  6 Cd 2.94
Cd 0.3333 0.6667 0.5000  9 Cd 3.05-3.32
Cd 0.5000 0.0000 0.2436  10 Cd 2.88-3.08
Cd 0.5000 0.0000 0.7564  10 Cd 2.88-3.08
Cd 0.5000 0.5000 0.2436  10 Cd 2.88-3.08
Cd 0.5000 0.5000 0.7564  10 Cd 2.88-3.08
Cd 0.6667 0.3333 0.0000  6 Cd 2.94
Cd 0.6667 0.3333 0.5000  9 Cd 3.05-3.32

A relaxed structure of GaPd17. Source: OQMD via LeMat-Bulk, functional GGA-PBE.

Results
The calculated total energy is -91.0 eV/f.u. As for the calculated density: 6.98 g cm⁻³. For the energy above the lowest structure with this stoichiometry, the calculation gives 0 meV per atom.

a b c (Å): 4.7863 5.5355 33.7254
angles (deg): 90.00 90.03 90.00
Last column: nearest neighbours and their distance in Å.
Fractional coordinates of all 36 atoms:
Ga 0.1662 0.2500 0.2689  9 Pd 2.66-2.77
Ga 0.8338 0.7500 0.7311  9 Pd 2.66-2.77
Pd 0.0000 0.0000 0.0000  12 Pd 2.76-2.80
Pd 0.9997 0.0000 0.2055  1 Ga 2.67, 11 Pd 2.75-2.83
Pd 0.0003 0.0000 0.7945  1 Ga 2.67, 11 Pd 2.75-2.83
Pd 0.0000 0.5000 0.0000  12 Pd 2.76-2.80
Pd 0.9997 0.5000 0.2055  1 Ga 2.67, 11 Pd 2.75-2.83
Pd 0.0003 0.5000 0.7945  1 Ga 2.67, 11 Pd 2.75-2.83
Pd 0.1662 0.7500 0.8634  12 Pd 2.76-2.83
Pd 0.1670 0.2500 0.0682  12 Pd 2.76-2.81
Pd 0.1669 0.2500 0.8639  12 Pd 2.76-2.83
Pd 0.1667 0.7500 0.0682  12 Pd 2.76-2.81
Pd 0.1683 0.7500 0.2735  7 Pd 2.76-2.83, 2 Ga 2.77
Pd 0.3329 0.0003 0.1366  12 Pd 2.76-2.82
Pd 0.3329 0.4997 0.1366  12 Pd 2.76-2.82
Pd 0.3335 0.5026 0.7264  7 Pd 2.74-2.83, 2 Ga 2.76
Pd 0.3335 0.9974 0.7264  7 Pd 2.74-2.83, 2 Ga 2.76
Pd 0.3336 0.9998 0.9320  12 Pd 2.76-2.81
Pd 0.3336 0.5002 0.9320  12 Pd 2.76-2.81
Pd 0.4969 0.2500 0.2055  1 Ga 2.66, 11 Pd 2.75-2.83
Pd 0.4972 0.2500 0.7955  12 Pd 2.75-2.83
Pd 0.5002 0.2500 0.0000  12 Pd 2.76-2.80
Pd 0.4998 0.7500 0.0000  12 Pd 2.76-2.80
Pd 0.5028 0.7500 0.2045  12 Pd 2.75-2.83
Pd 0.5031 0.7500 0.7945  1 Ga 2.66, 11 Pd 2.75-2.83
Pd 0.6664 0.0002 0.0680  12 Pd 2.76-2.81
Pd 0.6664 0.4998 0.0680  12 Pd 2.76-2.81
Pd 0.6671 0.9997 0.8634  12 Pd 2.76-2.82
Pd 0.6665 0.0026 0.2736  7 Pd 2.74-2.83, 2 Ga 2.76
Pd 0.6665 0.4974 0.2736  7 Pd 2.74-2.83, 2 Ga 2.76
Pd 0.6671 0.5003 0.8634  12 Pd 2.76-2.82
Pd 0.8317 0.2500 0.7265  7 Pd 2.76-2.83, 2 Ga 2.77
Pd 0.8333 0.2500 0.9318  12 Pd 2.76-2.81
Pd 0.8331 0.7500 0.1361  12 Pd 2.76-2.83
Pd 0.8330 0.7500 0.9318  12 Pd 2.76-2.81
Pd 0.8338 0.2500 0.1366  12 Pd 2.76-2.83

A relaxed structure of CsCd3Au. Source: OQMD via LeMat-Bulk, functional GGA-PBE.

Results
The calculated total energy is -7.6 eV/f.u. As for the calculated density: 7.16 g cm⁻³.

a b c (Å): 6.8623 6.8623 7.2662
angles (deg): 90.00 90.00 115.25
Last column: nearest neighbours and their distance in Å.
Fractional coordinates of all 10 atoms:
Cs 0.2371 0.7629 0.7500  4 Au 3.86-3.93, 13 Cd 3.87-4.14
Cs 0.7629 0.2371 0.2500  4 Au 3.86-3.93, 13 Cd 3.87-4.14
Cd 0.1201 0.8799 0.2500  1 Au 2.84, 4 Cd 3.07
Cd 0.2776 0.2776 0.0000  2 Au 2.90, 2 Cd 3.07
Cd 0.2776 0.2776 0.5000  2 Au 2.90, 2 Cd 3.07
Cd 0.7224 0.7224 0.0000  2 Au 2.90, 2 Cd 3.07
Cd 0.7224 0.7224 0.5000  2 Au 2.90, 2 Cd 3.07
Cd 0.8799 0.1201 0.7500  1 Au 2.84, 4 Cd 3.07
Au 0.3653 0.6347 0.2500  5 Cd 2.84-2.90
Au 0.6347 0.3653 0.7500  5 Cd 2.84-2.90

A relaxed structure of Tc2AgO4. Source: OQMD via LeMat-Bulk, functional GGA-PBE.

Results
The total magnetization is 5.0 μB/f.u. The calculated total energy is -49.4 eV/f.u. As for the calculated density: 6.90 g cm⁻³.

a b c (Å): 6.3039 6.3039 6.3039
angles (deg): 60.00 60.00 60.00
Last column: nearest neighbours and their distance in Å.
Fractional coordinates of all 14 atoms:
Tc 0.0000 0.0000 0.0000  6 O 2.07
Tc 0.0000 0.0000 0.5000  6 O 2.07
Tc 0.0000 0.5000 0.0000  6 O 2.07
Tc 0.5000 0.0000 0.0000  6 O 2.07
Ag 0.3750 0.3750 0.3750  4 O 2.23
Ag 0.6250 0.6250 0.6250  4 O 2.23
O 0.1921 0.7693 0.7693  3 Tc 2.07, 1 Ag 2.23
O 0.2307 0.2307 0.2307  3 Tc 2.07, 1 Ag 2.23
O 0.2307 0.2307 0.8079  3 Tc 2.07, 1 Ag 2.23
O 0.2307 0.8079 0.2307  3 Tc 2.07, 1 Ag 2.23
O 0.7693 0.1921 0.7693  3 Tc 2.07, 1 Ag 2.23
O 0.7693 0.7693 0.1921  3 Tc 2.07, 1 Ag 2.23
O 0.7693 0.7693 0.7693  3 Tc 2.07, 1 Ag 2.23
O 0.8079 0.2307 0.2307  3 Tc 2.07, 1 Ag 2.23

A relaxed structure of LiSc2Pt. Source: OQMD via LeMat-Bulk, functional GGA-PBE.

Results
The total magnetization is 0.0 μB/f.u. The calculated total energy is -21.7 eV/f.u. As for the calculated density: 6.30 g cm⁻³. For the energy above the lowest structure with this stoichiometry, the calculation gives 471 meV per atom.

a b c (Å): 4.7610 4.7610 7.8432
angles (deg): 90.00 90.00 120.00
Last column: nearest neighbours and their distance in Å.
Fractional coordinates of all 8 atoms:
Li 0.0000 0.0000 0.0000  6 Sc 2.83
Li 0.0000 0.0000 0.5000  6 Sc 2.83
Sc 0.3333 0.6667 0.0869  1 Sc 2.56, 1 Pt 2.64, 3 Li 2.83
Sc 0.3333 0.6667 0.4131  1 Sc 2.56, 1 Pt 2.64, 3 Li 2.83
Sc 0.6667 0.3333 0.5869  1 Sc 2.56, 1 Pt 2.64, 3 Li 2.83
Sc 0.6667 0.3333 0.9131  1 Sc 2.56, 1 Pt 2.64, 3 Li 2.83
Pt 0.3333 0.6667 0.7500  2 Sc 2.64
Pt 0.6667 0.3333 0.2500  2 Sc 2.64

A relaxed structure of KZnPO. Source: OQMD via LeMat-Bulk, functional GGA-PBE.

Results
The calculated total energy is -15.5 eV/f.u. As for the calculated density: 3.46 g cm⁻³. For the energy above the lowest structure with this stoichiometry, the calculation gives 0 meV per atom.

a b c (Å): 3.1202 8.6640 5.3816
angles (deg): 90.00 90.00 90.00
Last column: nearest neighbours and their distance in Å.
Fractional coordinates of all 8 atoms:
K 0.0000 0.1531 0.0000  3 O 2.55-2.70
K 0.0000 0.8469 0.5000  3 O 2.55-2.70
Zn 0.5000 0.2681 0.5007  2 O 1.91
Zn 0.5000 0.7319 0.0007  2 O 1.91
P 0.5000 0.4948 0.7673  2 Zn 2.41-2.43, 2 P 2.69
P 0.5000 0.5052 0.2673  2 Zn 2.41-2.43, 2 P 2.69
O 0.0000 0.1417 0.4991  2 Zn 1.91
O 0.0000 0.8583 0.9991  2 Zn 1.91

A relaxed structure of CdInW4N2. Source: OQMD via LeMat-Bulk, functional GGA-PBE.

Results
The total magnetization is 0.0 μB/f.u. The calculated total energy is -69.9 eV/f.u. As for the calculated density: 14.60 g cm⁻³.

a b c (Å): 2.8868 2.8868 15.6149
angles (deg): 90.00 90.00 120.00
Last column: nearest neighbours and their distance in Å.
Fractional coordinates of all 8 atoms:
Cd 0.0000 0.0000 0.0000  6 Cd 2.89, 6 W 3.00
In 0.6667 0.3333 0.5000  6 In 2.89, 6 W 2.98
W 0.0000 0.0000 0.3420  3 N 2.19
W 0.0000 0.0000 0.6580  3 N 2.19
W 0.6667 0.3333 0.1595  3 N 2.19
W 0.6667 0.3333 0.8405  3 N 2.19
N 0.3333 0.6667 0.2507  6 W 2.19
N 0.3333 0.6667 0.7493  6 W 2.19

The lowest calculated density belongs to which entry?
KZnPO